[1]
A plane-wave DFT calculation with PBE-GGA was carried out for a relaxed structure of Cs4La3MnS8.

Computed properties:
DOS(E_F): 5.0 states/eV/f.u.
E_form (uncorrected): -1.523 eV/atom

abc: 9.405 9.405 9.405
angles: 53.34 53.34 53.34
Atoms (fractional coordinates):
Cs 0.000 0.000 0.000
Cs 0.000 0.500 0.500
Cs 0.500 0.000 0.500
Cs 0.500 0.500 0.000
La 0.000 0.000 0.500
La 0.000 0.500 0.000
La 0.500 0.000 0.000
Mn 0.500 0.500 0.500
S 0.230 0.230 0.230
S 0.253 0.712 0.712
S 0.288 0.288 0.747
S 0.288 0.747 0.288
S 0.712 0.253 0.712
S 0.712 0.712 0.253
S 0.747 0.288 0.288
S 0.770 0.770 0.770

[2]
A plane-wave DFT calculation with PBE-GGA was carried out for a relaxed structure of Cs3La2MnSe6.

Computed properties:
E_form (uncorrected): -1.375 eV/atom

abc: 7.457 7.457 8.773
angles: 99.15 99.15 117.85
Atoms (fractional coordinates):
Cs 0.000 0.000 0.000
Cs 0.326 0.674 0.000
Cs 0.674 0.326 0.000
La 0.164 0.836 0.500
La 0.836 0.164 0.500
Mn 0.500 0.500 0.500
Se 0.151 0.442 0.328
Se 0.233 0.233 0.706
Se 0.442 0.151 0.328
Se 0.558 0.849 0.672
Se 0.767 0.767 0.294
Se 0.849 0.558 0.672

[3]
A plane-wave DFT calculation with PBE-GGA was carried out for a relaxed structure of Cs2LaMn2Se4.

Computed properties:
DOS(E_F): 2.9 states/eV/f.u.
E_form (uncorrected): -1.132 eV/atom

abc: 8.357 8.357 8.553
angles: 108.41 108.41 30.27
Atoms (fractional coordinates):
Cs 0.133 0.133 0.053
Cs 0.867 0.867 0.947
La 0.000 0.000 0.500
Mn 0.320 0.320 0.516
Mn 0.680 0.680 0.484
Se 0.200 0.200 0.656
Se 0.473 0.473 0.725
Se 0.527 0.527 0.275
Se 0.800 0.800 0.344

Number 1: VASP energy -5.30 eV/atom. Number 2: VASP energy -4.92 eV/atom. Number 3: VASP energy -5.46 eV/atom.